No. 1
## La2Nd12In (PBE-GGA)

Data for a relaxed La2Nd12In crystal.

Its energy of formation is 192.0 meV per atom. The calculation puts the total energy at -4.46 eV/atom. The calculation puts the total magnetization at 0.0 μB per formula unit.

It has space group P4/nbm (No. 125, origin choice 2), with a = 6.8035 Å, b = 6.8035 Å, c = 23.9039 Å, α = 90.00°, β = 90.00° and γ = 90.00°. Symmetry generates all atoms from La at (0.2500, 0.7500, 0.2477), Nd at (0.0037, 0.5037, 0.0910), Nd at (0.0842, 0.5842, 0.5651), Nd at (0.2500, 0.2500, 0.1997), Nd at (0.2500, 0.2500, 0.3296) and In at (0.2500, 0.7500, 0.0000).

---

No. 2
## La2NdIn (PBE-GGA)

Data for a relaxed La2NdIn crystal.

As for the polymorph energy (0 for the lowest one): 0 meV/atom. Its energy of formation is -291.6 meV per atom. The calculation puts the total energy at -4.63 eV/atom. The calculation puts the total magnetization at 0.0 μB per formula unit.

It has space group P4/mmm (No. 123), with a = 4.9961 Å, b = 4.9961 Å, c = 5.1157 Å, α = 90.00°, β = 90.00° and γ = 90.00°. Symmetry generates all atoms from La at (0.0000, 0.5000, 0.0000), Nd at (0.0000, 0.0000, 0.5000) and In at (0.5000, 0.5000, 0.5000).

---

No. 3
## La5Nd6In (PBE-GGA)

Data for a relaxed La5Nd6In crystal.

As for the polymorph energy (0 for the lowest one): 3 meV/atom. Its energy of formation is -62.2 meV per atom. The calculation puts the total energy at -4.73 eV/atom. The calculation puts the total magnetization at 0.0 μB per formula unit.

It has space group Immm (No. 71), with a = 5.1548 Å, b = 10.3381 Å, c = 15.5612 Å, α = 90.00°, β = 90.00° and γ = 90.00°. Symmetry generates all atoms from La at (0.0000, 0.0000, 0.0000), La at (0.0000, 0.0000, 0.3350), La at (0.0000, 0.5000, 0.3353), Nd at (0.0000, 0.2449, 0.5000), Nd at (0.0000, 0.2565, 0.1622) and In at (0.0000, 0.5000, 0.0000).

---

No. 4
## La3Nd4In2 (PBE-GGA)

Data for a relaxed La3Nd4In2 crystal.

As for the polymorph energy (0 for the lowest one): 87 meV/atom. Its energy of formation is -138.2 meV per atom. The calculation puts the total energy at -4.51 eV/atom. The calculation puts the total magnetization at 0.0 μB per formula unit.

It has space group C2/c (No. 15), with a = 13.5376 Å, b = 13.8858 Å, c = 6.5490 Å, α = 90.00°, β = 96.12° and γ = 90.00°. Symmetry generates all atoms from La at (0.0000, 0.0312, 0.2500), La at (0.1095, 0.4338, 0.5855), Nd at (0.1086, 0.2838, 0.0720), Nd at (0.1545, 0.1700, 0.5783) and In at (0.2066, 0.0711, 0.0435).

---

No. 5
## LaNd5In5 (PBE-GGA)

Data for a relaxed LaNd5In5 crystal.

Its energy of formation is -217.4 meV per atom. The calculation puts the total energy at -4.08 eV/atom. The calculation puts the total magnetization at 0.2 μB per formula unit.

It has space group C2/m (No. 12), with a = 17.5339 Å, b = 6.0200 Å, c = 6.6903 Å, α = 90.00°, β = 90.07° and γ = 90.00°. Symmetry generates all atoms from La at (0.0000, 0.0000, 0.0000), Nd at (0.0000, 0.0000, 0.5000), Nd at (0.1552, 0.5000, 0.4991), Nd at (0.1783, 0.5000, 0.9992), In at (0.0000, 0.5000, 0.0000), In at (0.1655, 0.0000, 0.2658) and In at (0.1655, 0.0000, 0.7339).

---

No. 6
## La2Nd9In (PBE-GGA)

Data for a relaxed La2Nd9In crystal.

Its energy of formation is -65.9 meV per atom. The calculation puts the total energy at -4.69 eV/atom. The calculation puts the total magnetization at 0.0 μB per formula unit.

It has space group P4/mmm (No. 123), with a = 5.1053 Å, b = 5.1053 Å, c = 15.7082 Å, α = 90.00°, β = 90.00° and γ = 90.00°. Symmetry generates all atoms from La at (0.0000, 0.0000, 0.1699), Nd at (0.0000, 0.5000, 0.0000), Nd at (0.0000, 0.5000, 0.3416), Nd at (0.5000, 0.5000, 0.1718), Nd at (0.5000, 0.5000, 0.5000) and In at (0.0000, 0.0000, 0.5000).

---

No. 7
## La3Nd6In (PBE-GGA)

Data for a relaxed La3Nd6In crystal.

As for the polymorph energy (0 for the lowest one): 39 meV/atom. Its energy of formation is 24.3 meV per atom. The calculation puts the total energy at -4.59 eV/atom. The calculation puts the total magnetization at 0.0 μB per formula unit.

It has space group Cmc2_1 (No. 36), with a = 13.4656 Å, b = 16.0742 Å, c = 6.5164 Å, α = 90.00°, β = 90.00° and γ = 90.00°. Symmetry generates all atoms from La at (0.0000, 0.1443, 0.0000), La at (0.1969, 0.4121, 0.6727), Nd at (0.0000, 0.2486, 0.5049), Nd at (0.0000, 0.4531, 0.3446), Nd at (0.1199, 0.0524, 0.4943), Nd at (0.2193, 0.3074, 0.2048) and In at (0.0000, 0.3422, 0.9452).

---

No. 8
## La5NdIn2 (PBE-GGA)

Data for a relaxed La5NdIn2 crystal.

As for the polymorph energy (0 for the lowest one): 0 meV/atom. Its energy of formation is -297.4 meV per atom. The calculation puts the total energy at -4.66 eV/atom. The calculation puts the total magnetization at 0.0 μB per formula unit.

It has space group Pbam (No. 55), with a = 7.1484 Å, b = 14.2924 Å, c = 5.0427 Å, α = 90.00°, β = 90.00° and γ = 90.00°. Symmetry generates all atoms from La at (0.0000, 0.0000, 0.0000), La at (0.0109, 0.2522, 0.0000), La at (0.2462, 0.8756, 0.5000), Nd at (0.0000, 0.5000, 0.0000) and In at (0.2440, 0.6238, 0.5000).

---

No. 9
## La15Nd4In (PBE-GGA)

Data for a relaxed La15Nd4In crystal.

Its energy of formation is -47.4 meV per atom. The calculation puts the total energy at -4.83 eV/atom. The calculation puts the total magnetization at 0.0 μB per formula unit.

It has space group P4/mmm (No. 123), with a = 5.2021 Å, b = 5.2021 Å, c = 26.2304 Å, α = 90.00°, β = 90.00° and γ = 90.00°. Symmetry generates all atoms from La at (0.0000, 0.0000, 0.0000), La at (0.0000, 0.0000, 0.1984), La at (0.0000, 0.0000, 0.3997), La at (0.0000, 0.5000, 0.0958), La at (0.0000, 0.5000, 0.2975), La at (0.0000, 0.5000, 0.5000), Nd at (0.5000, 0.5000, 0.1972), Nd at (0.5000, 0.5000, 0.3999) and In at (0.5000, 0.5000, 0.0000).

---

No. 10
## La3Nd6In (PBE-GGA)

Data for a relaxed La3Nd6In crystal.

As for the polymorph energy (0 for the lowest one): 0 meV/atom. Its energy of formation is -15.0 meV per atom. The calculation puts the total energy at -4.63 eV/atom. The calculation puts the total magnetization at 0.0 μB per formula unit.

It has space group P2_1/m (No. 11), with a = 12.6654 Å, b = 3.6750 Å, c = 15.1099 Å, α = 90.00°, β = 93.84° and γ = 90.00°. Symmetry generates all atoms from La at (0.0549, 0.2500, 0.3003), La at (0.1017, 0.2500, 0.0836), La at (0.4305, 0.2500, 0.8148), Nd at (0.1117, 0.7500, 0.5042), Nd at (0.1894, 0.7500, 0.8880), Nd at (0.2098, 0.2500, 0.6814), Nd at (0.3057, 0.7500, 0.2552), Nd at (0.3780, 0.2500, 0.0409), Nd at (0.4408, 0.7500, 0.5990) and In at (0.3059, 0.2500, 0.4425).

---

No. 11
## LaNd5In4 (PBE-GGA)

Data for a relaxed LaNd5In4 crystal.

As for the polymorph energy (0 for the lowest one): 0 meV/atom. Its energy of formation is -388.9 meV per atom. The calculation puts the total energy at -4.36 eV/atom. The calculation puts the total magnetization at 0.0 μB per formula unit.

It has space group P4/mmm (No. 123), with a = 3.6501 Å, b = 3.6501 Å, c = 22.7953 Å, α = 90.00°, β = 90.00° and γ = 90.00°. Symmetry generates all atoms from La at (0.0000, 0.0000, 0.0000), Nd at (0.5000, 0.5000, 0.1183), Nd at (0.5000, 0.5000, 0.3087), Nd at (0.5000, 0.5000, 0.5000), In at (0.0000, 0.0000, 0.2122) and In at (0.0000, 0.0000, 0.4042).

---

No. 12
## La5Nd2In5 (PBE-GGA)

Data for a relaxed La5Nd2In5 crystal.

As for the polymorph energy (0 for the lowest one): 57 meV/atom. Its energy of formation is -332.7 meV per atom. The calculation puts the total energy at -4.32 eV/atom. The calculation puts the total magnetization at 0.0 μB per formula unit.

It has space group C2/m (No. 12), with a = 10.3417 Å, b = 5.4401 Å, c = 14.1013 Å, α = 90.00°, β = 105.18° and γ = 90.00°. Symmetry generates all atoms from La at (0.0000, 0.0000, 0.0000), La at (0.0802, 0.5000, 0.8146), La at (0.1548, 0.5000, 0.4841), Nd at (0.1915, 0.0000, 0.7111), In at (0.0000, 0.0000, 0.5000), In at (0.1270, 0.0000, 0.2851) and In at (0.2045, 0.5000, 0.0602).